Entry 1:
{
  "formula": "BaCr2GaRh",
  "functional": "PBE",
  "state": "relaxed",
  "lattice": [[5.852, 0.000, 0.000], [0.000, 5.852, 0.000], [0.000, 0.000, 5.049]],
  "species": ["Ba", "Cr", "Cr", "Ga", "Rh"],
  "frac_coords": [[0.000, 0.000, 0.000], [0.000, 0.500, 0.000], [0.500, 0.000, 0.000], [0.500, 0.500, 0.500], [0.000, 0.000, 0.500]],
  "formation_enthalpy_0k_ev_per_atom": 1.925,
  "dos_at_fermi_per_ev_cell": 2.791,
  "sg": "P4/mmm (123)"
}

Entry 2:
{
  "formula": "BaCrGa2Si",
  "functional": "PBE",
  "state": "relaxed",
  "lattice": [[4.840, 0.000, 0.000], [0.000, 4.840, 0.000], [0.000, 0.000, 4.635]],
  "species": ["Ba", "Cr", "Ga", "Ga", "Si"],
  "frac_coords": [[0.000, 0.000, 0.000], [0.500, 0.500, 0.500], [0.000, 0.500, 0.500], [0.500, 0.000, 0.500], [0.500, 0.500, 0.000]],
  "dos_at_fermi_per_ev_cell": 1.902,
  "sg": "P4/mmm (123)",
  "raw_formation_energy_ev_per_atom": -0.25
}

Entry 3:
{
  "formula": "BaTa2CrGa",
  "functional": "PBE",
  "state": "relaxed",
  "lattice": [[4.636, 0.000, 0.000], [0.000, 4.636, 0.000], [0.000, 0.000, 6.105]],
  "species": ["Ba", "Ta", "Ta", "Cr", "Ga"],
  "frac_coords": [[0.000, 0.000, 0.000], [0.000, 0.500, 0.500], [0.500, 0.000, 0.500], [0.000, 0.000, 0.500], [0.500, 0.500, 0.000]],
  "formation_enthalpy_0k_ev_per_atom": 1.237,
  "dos_at_fermi_per_ev_cell": 7.243,
  "sg": "P4/mmm (123)"
}

Entry 4:
{
  "formula": "BaCrGa2Tc",
  "functional": "PBE",
  "state": "relaxed",
  "lattice": [[4.875, 0.000, 0.000], [0.000, 4.875, 0.000], [0.000, 0.000, 5.686]],
  "species": ["Ba", "Cr", "Ga", "Ga", "Tc"],
  "frac_coords": [[0.000, 0.000, 0.000], [0.000, 0.000, 0.500], [0.000, 0.500, 0.500], [0.500, 0.000, 0.500], [0.500, 0.500, 0.000]],
  "formation_enthalpy_0k_ev_per_atom": 1.080,
  "dos_at_fermi_per_ev_cell": 5.063,
  "sg": "P4/mmm (123)"
}